Record 1
An optimized crystal structure of AgPd2Pt, computed with PBE.

The structure in CIF format:
```
data_AgPd2Pt
_cell_length_a 3.858
_cell_length_b 3.858
_cell_length_c 18.806
_cell_angle_alpha 90.00
_cell_angle_beta 90.00
_cell_angle_gamma 90.00
_space_group_name_H-M_alt 'I -4 2 d'
_space_group_IT_number 122
_space_group_name_Hall 'I -4 2bw'
loop_
_atom_site_label
_atom_site_type_symbol
_atom_site_fract_x
_atom_site_fract_y
_atom_site_fract_z
Ag1 Ag 0.000 0.000 0.000
Pd1 Pd 0.241 0.250 0.625
Pt1 Pt 0.000 0.000 0.500
```

Values from the calculation:
Size of the total moment = 0.00 μB/f.u.
E above lowest polymorph = 0.371 eV per atom
DOS(E_F) = 4.89 states/eV/f.u.
ΔE_f = 32 kJ/mol of atoms
Electronic total energy = -4.49 eV per atom



Record 2
An optimized crystal structure of AsRuPt2, computed with PBE.

The structure in CIF format:
```
data_AsRuPt2
_cell_length_a 3.013
_cell_length_b 4.395
_cell_length_c 9.344
_cell_angle_alpha 90.00
_cell_angle_beta 90.00
_cell_angle_gamma 90.00
_space_group_name_H-M_alt 'I m m m'
_space_group_IT_number 71
_space_group_name_Hall '-I 2 2'
loop_
_atom_site_label
_atom_site_type_symbol
_atom_site_fract_x
_atom_site_fract_y
_atom_site_fract_z
As1 As 0.000 0.000 0.000
Ru1 Ru 0.000 0.000 0.500
Pt1 Pt 0.000 0.500 0.276
```

Values from the calculation:
Size of the total moment = 0.79 μB/f.u.
DOS(E_F) = 4.05 states/eV/f.u.
ΔE_f = 7 kJ/mol of atoms
Electronic total energy = -6.42 eV per atom



Record 3
An optimized crystal structure of LaTcSe2, computed with PBE.

The structure in CIF format:
```
data_LaTcSe2
_cell_length_a 3.413
_cell_length_b 3.413
_cell_length_c 8.312
_cell_angle_alpha 90.00
_cell_angle_beta 90.00
_cell_angle_gamma 90.00
_space_group_name_H-M_alt 'P 4 m m'
_space_group_IT_number 99
loop_
_space_group_symop_operation_xyz
'x,y,z'
'-y,x,z'
'-x,-y,z'
'y,-x,z'
'-x,y,z'
'y,x,z'
'x,-y,z'
'-y,-x,z'
loop_
_atom_site_label
_atom_site_type_symbol
_atom_site_fract_x
_atom_site_fract_y
_atom_site_fract_z
La1 La 0.000 0.000 0.000
Tc1 Tc 0.500 0.500 0.706
Se1 Se 0.000 0.000 0.588
Se2 Se 0.500 0.500 0.203
```

Values from the calculation:
Size of the total moment = 0.00 μB/f.u.
E above lowest polymorph = 0.465 eV per atom
DOS(E_F) = 5.29 states/eV/f.u.
Electronic total energy = -6.06 eV per atom
Formation energy from raw total energies = -1.99 eV/f.u.